This record from Alexandria describes an optimized crystal structure of TlIr2AuSe. The functional is PBE-GGA.

a b c (Å): 4.645 5.169 4.645
angles (deg): 90.00 90.00 90.00
Fractional positions:
Ir: 0.500 0.000 0.000
Ir: 0.000 0.000 0.500
Se: 0.000 0.000 0.000
Au: 0.000 0.500 0.000
Tl: 0.500 0.500 0.500

Calculated values
**Final energy**: -0.328 Ry per atom
**Total magnetic moment**: 0.000 μB per atom
**Calculated density**: 12.9 Mg/m³
**E_form (uncorrected)**: 912 meV per atom
**Space group**: P4/mmm, No. 123